Record 1
Entry from Alexandria: crystalline YBe2Se at its relaxed geometry (PBEsol).

abc: 3.288 3.288 5.935
angles: 90.00 90.00 90.00
Atoms (fractional coordinates):
Y1 0.000 0.000 0.000
Be1 0.000 0.000 0.470
Be2 0.500 0.500 0.325
Se1 0.500 0.500 0.698

Calculated values
Formation energy without anion corrections, eV/atom: -0.153
VASP energy, eV/atom: -4.8214
Crystal system: tetragonal
Calculated volume, Å³/atom: 16.04
Space group: P4mm (99)
N(E_F), states/eV/atom: 0.695

***

Record 2
Entry from Alexandria: crystalline Ca2Zn2Bi at its relaxed geometry (PBEsol).

abc: 5.762 5.762 5.762
angles: 119.85 119.85 90.26
Atoms (fractional coordinates):
Ca1 0.250 0.750 0.500
Ca2 0.750 0.250 0.500
Zn1 0.143 0.143 0.000
Zn2 0.857 0.857 0.000
Bi1 0.500 0.500 0.000

Calculated values
Offset from the most stable computed form, eV per atom: 0.1642
VASP energy, eV/atom: -2.5056
Crystal system: tetragonal
Calculated volume, Å³/atom: 27.11
Space group: I4/mmm (139)
N(E_F), states/eV/atom: 0.616
Energy of formation from the pure elements, kcal/mol of atoms: -3.7

***

Record 3
Entry from Alexandria: crystalline LaTc3 at its relaxed geometry (PBEsol).

abc: 5.309 5.309 5.309
angles: 116.91 116.91 116.91
Atoms (fractional coordinates):
La1 0.000 0.000 0.000
Tc1 0.000 0.500 0.500
Tc2 0.500 0.000 0.500
Tc3 0.500 0.500 0.000

Calculated values
VASP energy, eV/atom: -9.2080
Crystal system: trigonal
Calculated volume, Å³/atom: 16.73
Space group: R-3m (166)
N(E_F), states/eV/atom: 1.406
Energy of formation from the pure elements, kcal/mol of atoms: 13.3

***

Record 4
Entry from Alexandria: crystalline Mg2BeCr at its relaxed geometry (PBEsol).

abc: 3.382 4.232 4.274
angles: 90.00 90.00 90.00
Atoms (fractional coordinates):
Mg1 0.000 0.000 0.000
Mg2 0.500 0.500 0.000
Be1 0.000 0.500 0.500
Cr1 0.500 0.000 0.500

Calculated values
VASP energy, eV/atom: -3.9044
Crystal system: orthorhombic
Calculated volume, Å³/atom: 15.29
Space group: Pmmm (47)
N(E_F), states/eV/atom: 0.552
Energy of formation from the pure elements, kcal/mol of atoms: 11.9

***

Record 5
Entry from Alexandria: crystalline Al2Ni at its relaxed geometry (PBEsol).

abc: 7.695 7.695 7.695
angles: 60.00 60.00 60.00
Atoms (fractional coordinates):
Al1 0.000 0.000 0.000
Al2 0.000 0.000 0.500
Al3 0.000 0.500 0.000
Al4 0.175 0.175 0.575
Al5 0.175 0.575 0.175
Al6 0.175 0.575 0.575
Al7 0.425 0.425 0.825
Al8 0.425 0.825 0.425
Al9 0.425 0.825 0.825
Al10 0.500 0.000 0.000
Al11 0.575 0.175 0.175
Al12 0.575 0.175 0.575
Al13 0.575 0.575 0.175
Al14 0.825 0.425 0.425
Al15 0.825 0.425 0.825
Al16 0.825 0.825 0.425
Ni1 0.163 0.779 0.779
Ni2 0.221 0.221 0.221
Ni3 0.221 0.221 0.837
Ni4 0.221 0.837 0.221
Ni5 0.779 0.163 0.779
Ni6 0.779 0.779 0.163
Ni7 0.779 0.779 0.779
Ni8 0.837 0.221 0.221

Calculated values
VASP energy, eV/atom: -5.2374
Crystal system: cubic
Calculated volume, Å³/atom: 13.43
Space group: Fd-3m (227)
N(E_F), states/eV/atom: 0.532
Energy of formation from the pure elements, kcal/mol of atoms: -10.5

***

Record 6
Entry from Alexandria: crystalline KBaCa at its relaxed geometry (PBEsol).

abc: 6.652 6.652 6.652
angles: 60.00 60.00 60.00
Atoms (fractional coordinates):
K1 0.000 0.000 0.000
Ba1 0.500 0.500 0.500
Ca1 0.750 0.750 0.750

Calculated values
VASP energy, eV/atom: -1.3507
Crystal system: cubic
Calculated volume, Å³/atom: 69.37
Space group: F-43m (216)
N(E_F), states/eV/atom: 1.470
Energy of formation from the pure elements, kcal/mol of atoms: 10.5

***

Record 7
Entry from Alexandria: crystalline TaCd2InAs at its relaxed geometry (PBEsol).

abc: 5.037 5.037 5.283
angles: 90.00 90.00 90.00
Atoms (fractional coordinates):
Ta1 0.000 0.000 0.000
Cd1 0.000 0.500 0.500
Cd2 0.500 0.000 0.500
In1 0.000 0.000 0.500
As1 0.500 0.500 0.000

Calculated values
VASP energy, eV/atom: -3.2327
Crystal system: tetragonal
Calculated volume, Å³/atom: 26.81
Space group: P4/mmm (123)
N(E_F), states/eV/atom: 0.928
Energy of formation from the pure elements, kcal/mol of atoms: 31.7

***

Record 8
Entry from Alexandria: crystalline Na2Al3P3H2O14 at its relaxed geometry (PBEsol).

abc: 8.480 8.486 14.345
angles: 90.00 90.00 90.00
Atoms (fractional coordinates):
Na1 0.218 0.007 0.293
Na2 0.241 0.980 0.538
Na3 0.259 0.020 0.038
Na4 0.282 0.993 0.793
Na5 0.718 0.493 0.707
Na6 0.741 0.520 0.462
Na7 0.759 0.480 0.962
Na8 0.782 0.507 0.207
Al1 0.107 0.392 0.613
Al2 0.137 0.384 0.301
Al3 0.154 0.381 0.959
Al4 0.346 0.619 0.459
Al5 0.363 0.616 0.801
Al6 0.393 0.608 0.113
Al7 0.607 0.108 0.387
Al8 0.637 0.116 0.699
Al9 0.654 0.119 0.041
Al10 0.846 0.881 0.541
Al11 0.863 0.884 0.199
Al12 0.893 0.892 0.887
P1 0.031 0.726 0.372
P2 0.037 0.715 0.708
P3 0.051 0.702 0.046
P4 0.449 0.298 0.546
P5 0.463 0.285 0.208
P6 0.469 0.274 0.872
P7 0.531 0.774 0.628
P8 0.537 0.785 0.292
P9 0.551 0.798 0.954
P10 0.949 0.202 0.454
P11 0.963 0.215 0.792
P12 0.969 0.226 0.128
H1 0.107 0.594 0.859
H2 0.116 0.646 0.549
H3 0.384 0.354 0.049
H4 0.393 0.406 0.359
H5 0.607 0.906 0.141
H6 0.616 0.854 0.451
H7 0.884 0.146 0.951
H8 0.893 0.094 0.641
O1 0.000 0.040 0.817
O2 0.000 0.540 0.683
O3 0.006 0.354 0.201
O4 0.015 0.560 0.328
O5 0.016 0.536 0.009
O6 0.018 0.818 0.620
O7 0.043 0.826 0.967
O8 0.075 0.231 0.378
O9 0.076 0.251 0.711
O10 0.087 0.228 0.046
O11 0.186 0.554 0.542
O12 0.200 0.764 0.406
O13 0.202 0.529 0.865
O14 0.211 0.737 0.738
O15 0.216 0.723 0.089
O16 0.284 0.277 0.589
O17 0.289 0.263 0.238
O18 0.298 0.471 0.365
O19 0.300 0.236 0.906
O20 0.314 0.446 0.042
O21 0.413 0.772 0.546
O22 0.424 0.749 0.211
O23 0.425 0.769 0.878
O24 0.457 0.174 0.467
O25 0.482 0.182 0.120
O26 0.484 0.464 0.509
O27 0.485 0.440 0.828
O28 0.494 0.646 0.701
O29 0.500 0.460 0.183
O30 0.500 0.960 0.317
O31 0.506 0.146 0.799
O32 0.515 0.940 0.672
O33 0.516 0.964 0.991
O34 0.518 0.682 0.380
O35 0.543 0.674 0.033
O36 0.575 0.269 0.622
O37 0.576 0.249 0.289
O38 0.587 0.272 0.954
O39 0.686 0.946 0.458
O40 0.700 0.736 0.594
O41 0.702 0.971 0.135
O42 0.711 0.763 0.262
O43 0.716 0.777 0.911
O44 0.784 0.223 0.411
O45 0.789 0.237 0.762
O46 0.798 0.029 0.635
O47 0.800 0.264 0.094
O48 0.814 0.054 0.958
O49 0.913 0.728 0.454
O50 0.924 0.751 0.789
O51 0.925 0.731 0.122
O52 0.957 0.326 0.533
O53 0.982 0.318 0.880
O54 0.984 0.036 0.491
O55 0.985 0.060 0.172
O56 0.994 0.854 0.299

Calculated values
VASP energy, eV/atom: -7.1004
Crystal system: orthorhombic
Calculated volume, Å³/atom: 10.75
Space group: P2_12_12_1 (19)
N(E_F), states/eV/atom: 0.000